Density functional theory data (PBE-GGA) for ScInSb2 after structural relaxation.

Results
Energy relative to the elements, uncorrected   -0.249 eV/atom
VASP energy   -4.58 eV/atom
Fermi-level density of states   0.00 states/eV/cell

Cell: 6.677 6.677 13.078 Å, 90.00 90.00 90.00°
Space group I-42d (No. 122)
Symmetry-distinct sites (fractional):
Sc 0.000 0.000 0.000
In 0.000 0.000 0.500
Sb 0.249 0.250 0.125

---

Density functional theory data (PBE-GGA) for ScInSb2 after structural relaxation.

Results
Energy relative to the elements, uncorrected   -0.070 eV/atom
VASP energy   -4.40 eV/atom
Fermi-level density of states   12.44 states/eV/cell

Cell: 3.3829 3.3829 32.2914 Å, 90.00 90.00 120.00°
Space group R3m (No. 160, hexagonal axes)
Symmetry-distinct sites (fractional):
Sc 0.0000 0.0000 0.0000
In 0.0000 0.0000 0.7430
Sb 0.0000 0.0000 0.2603
Sb 0.0000 0.0000 0.4867

---

Density functional theory data (PBE-GGA) for ScInSb2 after structural relaxation.

Results
Energy relative to the elements, uncorrected   -0.398 eV/atom
VASP energy   -4.73 eV/atom
Fermi-level density of states   1.42 states/eV/cell

Cell: 4.114 4.114 6.350 Å, 90.00 90.00 90.00°
Space group P4mm (No. 99)
Symmetry-distinct sites (fractional):
Sc 0.000 0.000 0.000
In 0.500 0.500 0.369
Sb 0.000 0.000 0.501
Sb 0.500 0.500 0.914

---

Density functional theory data (PBE-GGA) for ScInSb2 after structural relaxation.

Results
Energy relative to the elements, uncorrected   -0.216 eV/atom
VASP energy   -4.54 eV/atom
Fermi-level density of states   12.53 states/eV/cell

Cell: 3.3705 3.3705 32.7453 Å, 90.00 90.00 120.00°
Space group R-3m (No. 166, hexagonal axes)
Symmetry-distinct sites (fractional):
Sc 0.0000 0.0000 0.0000
In 0.0000 0.0000 0.5000
Sb 0.0000 0.0000 0.2611